Compound: NaAlGe
Source: Alexandria via LeMat-Bulk
Functional: GGA-PBE
Structure: optimized geometry Values from VASP.

N(E_F) ... 3.41 states/eV/cell
E_form ... -4 kJ/mol of formula units

The structure in Quantum ESPRESSO input format:
```
&SYSTEM
  ibrav = 0, nat = 6, ntyp = 3
/
ATOMIC_SPECIES
Na 22.99 Na.upf
Ge 72.64 Ge.upf
Al 26.98 Al.upf
ATOMIC_POSITIONS crystal
Na 0.683 0.683 0.633
Na 0.317 0.317 0.367
Ge 0.886 0.886 0.229
Ge 0.114 0.114 0.771
Al 0.000 0.500 0.000
Al 0.500 0.000 0.000
CELL_PARAMETERS angstrom
-1.155 3.438 -1.687
-3.829 -1.071 0.438
-2.641 4.653 6.549
```